1.
The following is a PBE calculation of a geometry-optimized OsPt3S structure, from Alexandria via LeMat-Bulk.

Cell lengths 4.8163, 4.8163, 4.8163 Å; angles 90.00, 90.00, 90.00 degrees
Fractional coordinates of all 5 atoms:
1 Os 0.0000 0.0000 0.0000
2 Pt 0.0000 0.0000 0.5000
3 Pt 0.0000 0.5000 0.0000
4 Pt 0.5000 0.0000 0.0000
5 S 0.5000 0.5000 0.5000

Calculated values
**M_tot**: 0.000 Bohr magnetons per cell
**Density of states at the Fermi level**: 1.2158 states/eV/atom
**Raw total energy**: -5.077 eV per atom

***

2.
The following is a PBE calculation of a geometry-optimized Os2PtS structure, from Alexandria via LeMat-Bulk.

Cell lengths 6.7998, 6.7998, 6.7998 Å; angles 134.70, 134.70, 66.00 degrees
Fractional coordinates of all 8 atoms:
1 Os 0.0795 0.6250 0.9545
2 Os 0.3750 0.3295 0.4545
3 Os 0.6705 0.1250 0.0455
4 Os 0.8750 0.9205 0.5455
5 Pt 0.2500 0.7500 0.5000
6 Pt 0.5000 0.5000 0.0000
7 S 0.0000 0.0000 0.0000
8 S 0.7500 0.2500 0.5000

Calculated values
**M_tot**: 0.000 Bohr magnetons per cell
**Density of states at the Fermi level**: 0.1793 states/eV/atom
**Raw total energy**: -7.344 eV per atom

***

Q: What is the raw total energy in the second record?
A: -7.344 eV per atom

***

Q: What is the formula in the first record?
A: OsPt3S